# 1
Density functional theory data (GGA-PBE) for a relaxed structure of SrScCuTe2S.

## Properties
- volume (A^3/atom) = 24.90
- size of the total moment (μB per cell) = 0.0
- E_tot (eV/atom) = -4.950

Lattice parameters (Å, degrees): 7.419 7.419 10.250 90.00 90.00 148.02
Fractional positions:
Sr (0.224, 0.776, 0.750)
Sr (0.776, 0.224, 0.250)
Sc (0.500, 0.500, 0.000)
Sc (0.500, 0.500, 0.500)
Cu (0.018, 0.982, 0.250)
Cu (0.982, 0.018, 0.750)
Te (0.141, 0.859, 0.058)
Te (0.141, 0.859, 0.442)
Te (0.859, 0.141, 0.558)
Te (0.859, 0.141, 0.942)
S (0.436, 0.564, 0.250)
S (0.564, 0.436, 0.750)

***

# 2
Density functional theory data (GGA-PBE) for a relaxed structure of MgNpCo.

## Properties
- volume (A^3/atom) = 20.59
- size of the total moment (μB per cell) = 3.7
- E_tot (eV/atom) = -6.740

Lattice parameters (Å, degrees): 4.437 4.437 4.437 60.00 60.00 60.00
Fractional positions:
Mg (0.000, 0.000, 0.000)
Np (0.500, 0.500, 0.500)
Co (0.250, 0.250, 0.250)

***

# 3
Density functional theory data (GGA-PBE) for a relaxed structure of NpBi.

## Properties
- polymorph energy (0 for the lowest one) (eV/atom) = 0.000
- volume (A^3/atom) = 32.37
- size of the total moment (μB per cell) = 4.0

Lattice parameters (Å, degrees): 4.507 4.507 4.507 60.00 60.00 60.00
Fractional positions:
Np (0.000, 0.000, 0.000)
Bi (0.500, 0.500, 0.500)

***

# 4
Density functional theory data (GGA-PBE) for a relaxed structure of AsIrAu2.

## Properties
- volume (A^3/atom) = 16.96
- size of the total moment (μB per cell) = 0.0
- E_tot (eV/atom) = -4.645

Lattice parameters (Å, degrees): 4.578 4.578 4.578 60.00 60.00 60.00
Fractional positions:
As (0.000, 0.000, 0.000)
Ir (0.250, 0.250, 0.250)
Au (0.500, 0.500, 0.500)
Au (0.750, 0.750, 0.750)

***

- The lowest volume belongs to which entry?
  AsIrAu2